## ZrVGe2O8 (PBE with a Hubbard U)

Data for an optimized crystal structure of ZrVGe2O8.

Properties
Size of the total moment, μB per formula unit: 1.00
Total energy, eV per cell: -89.038

Lattice parameters (Å, degrees): 5.651 5.651 5.651 107.67 107.67 113.14
Fractional positions:
Zr  0.000  0.000  0.000
V  0.250  0.750  0.500
Ge  0.500  0.500  0.000
Ge  0.750  0.250  0.500
O  0.303  0.113  0.809
O  0.303  0.494  0.191
O  0.364  0.044  0.320
O  0.506  0.697  0.809
O  0.725  0.044  0.680
O  0.887  0.697  0.191
O  0.956  0.275  0.320
O  0.956  0.636  0.680